## HfTl2InCl8 (PBE)

Data for a relaxed HfTl2InCl8 crystal.

Cell lengths 7.244, 6.653, 8.296 Å; angles 89.94, 90.05, 91.87 degrees
Fractional positions:
Cl  0.706  0.811  0.000
Cl  0.698  0.768  0.500
Cl  0.882  0.218  0.217
Cl  0.294  0.189  0.000
Cl  0.302  0.232  0.500
Cl  0.118  0.782  0.783
Cl  0.118  0.782  0.218
Cl  0.882  0.218  0.782
In  0.000  0.000  0.500
Tl  0.500  0.500  0.248
Tl  0.500  0.500  0.752
Hf  0.000  0.000  0.000

## Properties
uncorrected formation energy	-1.316	eV per atom
spin magnetization	0.0	μB/cell
symmetry	P-1



## HfIrCl3 (PBE)

Data for a relaxed HfIrCl3 crystal.

Cell lengths 4.968, 4.968, 4.968 Å; angles 90.00, 90.00, 90.00 degrees
Fractional positions:
Cl  0.000  0.500  0.000
Cl  0.000  0.000  0.500
Cl  0.500  0.000  0.000
Hf  0.000  0.000  0.000
Ir  0.500  0.500  0.500

## Properties
excess energy over the best structure of this formula in the dataset	0	meV/atom
uncorrected formation energy	0.196	eV per atom
spin magnetization	2.7	μB/cell
symmetry	Pm-3m



## HfIr3Cl (PBE)

Data for a relaxed HfIr3Cl crystal.

Cell lengths 4.450, 4.450, 4.450 Å; angles 90.00, 90.00, 90.00 degrees
Fractional positions:
Ir  0.000  0.500  0.000
Ir  0.000  0.000  0.500
Ir  0.500  0.000  0.000
Cl  0.000  0.000  0.000
Hf  0.500  0.500  0.500

## Properties
uncorrected formation energy	0.954	eV per atom
spin magnetization	0.0	μB/cell
symmetry	Pm-3m



## Hf2IrCl2 (PBE)

Data for a relaxed Hf2IrCl2 crystal.

Cell lengths 3.784, 3.784, 7.157 Å; angles 74.67, 74.67, 90.00 degrees
Fractional positions:
Hf  0.610  0.610  0.781
Hf  0.390  0.390  0.219
Cl  0.250  0.750  0.500
Cl  0.750  0.250  0.500
Ir  0.000  0.000  0.000

## Properties
excess energy over the best structure of this formula in the dataset	0	meV/atom
uncorrected formation energy	-0.428	eV per atom
spin magnetization	0.0	μB/cell
symmetry	I4/mmm